The following is a DFT calculation (PBE with a Hubbard U) of crystalline CoSeO3 at its relaxed geometry.

```
CoSeO3
1.0
-2.148 4.199 -1.915
-5.190 -1.456 2.630
2.078 3.924 6.273
O Se Co
12 4 4
Cartesian
-2.824 0.894 2.730
-4.765 1.978 1.061
-2.437 5.773 4.258
-3.327 1.651 5.497
-2.654 3.654 -0.687
-4.719 4.434 5.852
-0.541 2.233 1.136
-1.217 3.327 3.750
-2.606 3.013 7.675
-0.496 4.689 5.928
-1.933 5.016 1.491
-4.043 3.340 3.238
-1.958 4.275 5.037
-1.708 5.075 -0.255
-3.553 1.591 7.243
-3.302 2.392 1.952
-2.595 -0.728 1.315
-1.556 1.234 4.452
-1.074 2.099 -0.957
-0.035 4.061 2.179
```

density of states at the Fermi level: 0.00 states/eV/atom
DFT total energy: -112.05 eV for the cell shown